1.
# CuBi3As

A relaxed structure of CuBi3As (PBE, the Alexandria database).

Computed properties:
Energy, eV/cell: -16.0
SG: No. 221
Formation energy, meV per atom: 887.6
Energy above the most stable polymorph in this dataset, meV/atom: 333.1

abc: 5.5427 5.5427 5.5427
angles: 90.00 90.00 90.00
Fractional positions:
1 Cu 0.0000 0.0000 0.0000
2 Bi 0.0000 0.5000 0.5000
3 Bi 0.5000 0.0000 0.5000
4 Bi 0.5000 0.5000 0.0000
5 As 0.5000 0.5000 0.5000

***

2.
# Cu8GeSe6

A relaxed structure of Cu8GeSe6 (PBE, the Alexandria database).

Computed properties:
Energy, eV/cell: -120.0
SG: No. 9
Raw formation energy, eV/atom: -0.1121

abc: 7.4740 7.4740 11.6282
angles: 90.16 90.16 119.69
Fractional positions:
1 Cu 0.0187 0.5293 0.7549
2 Cu 0.0237 0.9763 0.5000
3 Cu 0.0306 0.9818 0.7355
4 Cu 0.1311 0.3158 0.6209
5 Cu 0.3158 0.1311 0.1209
6 Cu 0.3166 0.6955 0.1232
7 Cu 0.4628 0.9836 0.7384
8 Cu 0.4652 0.9777 0.5012
9 Cu 0.5293 0.0187 0.2549
10 Cu 0.6955 0.3166 0.6232
11 Cu 0.6967 0.8797 0.6179
12 Cu 0.8797 0.6967 0.1179
13 Cu 0.9763 0.0237 0.0000
14 Cu 0.9777 0.4652 0.0012
15 Cu 0.9818 0.0306 0.2355
16 Cu 0.9836 0.4628 0.2384
17 Ge 0.5113 0.5157 0.3811
18 Ge 0.5157 0.5113 0.8811
19 Se 0.1517 0.3180 0.8369
20 Se 0.1616 0.8069 0.6246
21 Se 0.1795 0.8430 0.9857
22 Se 0.3157 0.6822 0.3368
23 Se 0.3180 0.1517 0.3369
24 Se 0.5033 0.5063 0.0850
25 Se 0.5063 0.5033 0.5850
26 Se 0.6822 0.3157 0.8368
27 Se 0.6941 0.8707 0.8322
28 Se 0.8069 0.1616 0.1246
29 Se 0.8430 0.1795 0.4857
30 Se 0.8707 0.6941 0.3322